(1)
## Y2BeBr (SCAN)

Data for a PBEsol-optimized structure of Y2BeBr.

Cell and atoms, written as CIF:
```
data_Y2BeBr
_symmetry_space_group_name_H-M 'P 4 m m'
_symmetry_Int_Tables_number 99
_cell_length_a 3.4614
_cell_length_b 3.4614
_cell_length_c 8.7848
_cell_angle_alpha 90.00
_cell_angle_beta 90.00
_cell_angle_gamma 90.00
loop_
_symmetry_equiv_pos_as_xyz
'x,y,z'
'-y,x,z'
'-x,-y,z'
'y,-x,z'
'-x,y,z'
'y,x,z'
'x,-y,z'
'-y,-x,z'
loop_
_atom_site_label
_atom_site_fract_x
_atom_site_fract_y
_atom_site_fract_z
_atom_site_occupancy
Y1 0.0000 0.0000 0.0000 1
Y2 0.5000 0.5000 0.3006 1
Be1 0.0000 0.0000 0.4667 1
Br1 0.5000 0.5000 0.8050 1
```

Output
Energy above the most stable polymorph in this dataset = 11 meV/atom
Total DFT energy (no corrections) = -20.05 eV/atom
Size of the total moment = 0.9 μB per formula unit

---

(2)
## Y2BeBr (SCAN)

Data for a PBEsol-optimized structure of Y2BeBr.

Cell and atoms, written as CIF:
```
data_Y2BeBr
_symmetry_space_group_name_H-M 'F m -3 m'
_symmetry_Int_Tables_number 225
_symmetry_space_group_name_Hall '-F 4 2 3'
_cell_length_a 7.0361
_cell_length_b 7.0361
_cell_length_c 7.0361
_cell_angle_alpha 90.00
_cell_angle_beta 90.00
_cell_angle_gamma 90.00
loop_
_atom_site_label
_atom_site_fract_x
_atom_site_fract_y
_atom_site_fract_z
_atom_site_occupancy
Y1 0.2500 0.2500 0.2500 1
Be1 0.0000 0.0000 0.0000 1
Br1 0.0000 0.0000 0.5000 1
```

Output
Energy above the most stable polymorph in this dataset = 0 meV/atom
Total DFT energy (no corrections) = -20.06 eV/atom
Size of the total moment = 0.0 μB per formula unit